Compound: CaInFeO4
Source: Alexandria
Functional: PBE+U
Structure: relaxed

Structure (extended XYZ):
```
14
Lattice="-2.338 5.081 -1.391 1.675 -3.206 -4.487 -6.101 -2.870 -0.226" Properties=species:S:1:pos:R:3 pbc="T T T"
Ca -3.382 -0.498 -3.053
O -2.079 0.815 -4.553
In -3.240 3.075 -1.929
Fe -0.440 -2.707 -4.089
Fe -6.325 1.712 -2.016
O -7.295 0.135 -2.409
O -2.293 -2.458 -3.801
O -1.720 -0.200 -1.373
O -4.686 -1.810 -1.552
O -5.045 -0.796 -4.732
O -4.472 1.463 -2.304
In -3.525 -4.071 -4.176
O 0.530 -1.130 -3.696
Ca -0.332 0.937 -2.939
```

## Properties
Space-group type: Cmcm
DOS at the Fermi energy, states/eV per cell: 0.000
E_tot, Ry/atom: -0.455
Total magnetization, Bohr magnetons per cell: 9.98